(i)
A plane-wave DFT calculation with PBE was carried out for LaIn2Pb2 after structural relaxation.

Computed properties:
Space group = I4/mmm, No. 139
D(E_F) = 3.7 states/eV/cell

Geometry as extended XYZ:
```
5
Lattice="-1.686 3.438 2.270 1.213 -1.930 3.824 6.829 4.464 2.677" Properties=species:S:1:pos:R:3 pbc="T T T"
La 0.000 0.000 0.000
In 3.903 1.644 4.774
In 2.453 4.328 3.997
Pb 5.205 4.490 5.797
Pb 1.151 1.483 2.974
```


(ii)
A plane-wave DFT calculation with PBE was carried out for LaIn2Pb2 after structural relaxation.

Computed properties:
Space group = P4/mbm, No. 127
D(E_F) = 4.5 states/eV/cell

Geometry as extended XYZ:
```
10
Lattice="-3.013 -5.008 6.397 0.991 -6.999 -5.012 3.715 -0.466 1.385" Properties=species:S:1:pos:R:3 pbc="T T T"
Pb -0.311 -6.668 4.345
In -0.266 -8.025 -1.984
La 0.000 0.000 0.000
Pb 0.651 -9.392 0.848
In -1.755 -3.982 3.369
In -2.024 -8.752 2.487
Pb 1.042 -3.080 1.922
La -1.011 -6.003 0.693
Pb 2.004 -5.804 -1.574
In 0.003 -3.254 -1.101
```


(iii)
A plane-wave DFT calculation with PBE was carried out for LaIn2Pb2 after structural relaxation.

Computed properties:
Space group = Cmcm, No. 63
D(E_F) = 5.0 states/eV/cell

Geometry as extended XYZ:
```
10
Lattice="-3.716 2.729 -1.456 -2.923 -3.859 0.227 -0.794 1.341 12.564" Properties=species:S:1:pos:R:3 pbc="T T T"
Pb -3.915 1.754 5.250
La -2.629 0.973 8.531
In -2.810 0.626 0.319
Pb -3.518 -1.542 6.085
In -2.433 -2.648 1.245
Pb -5.935 0.394 7.855
In -4.622 -0.414 11.016
In -5.000 2.860 10.090
La -4.803 -0.761 2.804
Pb -1.498 -0.182 3.480
```


Which of them is the most stable, and which is the least stable? (iii) and (i), in that order.


(i)
A plane-wave DFT calculation with PBE was carried out for LaInPb after structural relaxation.

Computed properties:
Space group = F-43m, No. 216
D(E_F) = 2.1 states/eV/cell

Geometry as extended XYZ:
```
3
Lattice="-3.651 1.425 3.493 -5.045 0.246 -1.429 -3.418 -3.545 1.818" Properties=species:S:1:pos:R:3 pbc="T T T"
Pb -6.057 -0.937 1.941
In -9.086 -1.406 2.911
La 0.000 0.000 0.000
```


(ii)
A plane-wave DFT calculation with PBE was carried out for LaInPb after structural relaxation.

Computed properties:
Space group = P3m1, No. 156
D(E_F) = 0.7 states/eV/cell

Geometry as extended XYZ:
```
3
Lattice="-3.039 2.493 -2.836 -1.745 -3.171 3.223 -0.218 3.353 3.181" Properties=species:S:1:pos:R:3 pbc="T T T"
La -2.678 1.686 0.209
In -0.209 3.217 3.052
Pb -2.333 1.125 3.488
```


Which of them is the most stable, and which is the least stable? (ii) and (i), in that order.


(i)
A plane-wave DFT calculation with PBE was carried out for LaInPb after structural relaxation.

Computed properties:
Space group = F-43m, No. 216
D(E_F) = 1.2 states/eV/cell

Geometry as extended XYZ:
```
3
Lattice="-0.091 -0.321 -5.337 -4.245 -2.102 -2.480 -3.283 3.147 -2.812" Properties=species:S:1:pos:R:3 pbc="T T T"
La -5.714 0.543 -7.972
In -3.809 0.362 -5.315
Pb 0.000 0.000 0.000
```


(ii)
A plane-wave DFT calculation with PBE was carried out for LaInPb after structural relaxation.

Computed properties:
Space group = I4mm, No. 107
D(E_F) = 2.3 states/eV/cell

Geometry as extended XYZ:
```
3
Lattice="6.598 -0.021 0.000 4.315 4.992 0.000 -5.456 -2.485 2.754" Properties=species:S:1:pos:R:3 pbc="T T T"
Pb 7.069 3.220 0.000
In 0.149 0.068 0.000
La 3.695 1.683 0.000
```


Which of them is the most stable, and which is the least stable? (ii) and (i), in that order.